#P
Material: Pu2USe
Method: DFT, PBE
State: relaxed

The structure belongs to space group P4/mmm (No. 123); the cell edges are 3.6993, 3.6993 and 6.1940 Å and the angles 90.00°, 90.00° and 90.00°. Symmetry generates all atoms from Pu at (0.0000, 0.0000, 0.2503), U at (0.5000, 0.5000, 0.0000) and Se at (0.5000, 0.5000, 0.5000).

The density of states at the Fermi level is 2.656 states/eV/atom.

***

#Q
Material: Pu2USe
Method: DFT, PBE
State: relaxed

The structure belongs to space group R-3m (No. 166, hexagonal axes); the cell edges are 3.7141, 3.7141 and 20.5735 Å and the angles 90.00°, 90.00° and 120.00°. Symmetry generates all atoms from Pu at (0.0000, 0.0000, 0.2396), U at (0.0000, 0.0000, 0.5000) and Se at (0.0000, 0.0000, 0.0000).

The density of states at the Fermi level is 2.409 states/eV/atom.

***

What are the relative energies? In meV/atom: #P 29; #Q 0.

***

#P
Material: PuUSe2
Method: DFT, PBE
State: relaxed

The structure belongs to space group Pmma (No. 51); the cell edges are 6.8943, 4.1461 and 7.1984 Å and the angles 90.00°, 90.00° and 90.00°. Symmetry generates all atoms from Pu at (0.0000, 0.0000, 0.0000), U at (0.0000, 0.5000, 0.5000), Se at (0.2500, 0.0000, 0.3372) and Se at (0.2500, 0.5000, 0.8291).

The density of states at the Fermi level is 2.965 states/eV/atom.

***

#Q
Material: PuUSe2
Method: DFT, PBE
State: relaxed

The structure belongs to space group R-3m (No. 166, hexagonal axes); the cell edges are 4.0256, 4.0256 and 20.8690 Å and the angles 90.00°, 90.00° and 120.00°. Symmetry generates all atoms from Pu at (0.0000, 0.0000, 0.0000), U at (0.0000, 0.0000, 0.5000) and Se at (0.0000, 0.0000, 0.2501).

The density of states at the Fermi level is 2.873 states/eV/atom.

***

#R
Material: PuUSe2
Method: DFT, PBE
State: relaxed

The structure belongs to space group R3m (No. 160, hexagonal axes); the cell edges are 3.8641, 3.8641 and 22.7513 Å and the angles 90.00°, 90.00° and 120.00°. Symmetry generates all atoms from Pu at (0.0000, 0.0000, 0.0000), U at (0.0000, 0.0000, 0.1724), Se at (0.0000, 0.0000, 0.4191) and Se at (0.0000, 0.0000, 0.5872).

The density of states at the Fermi level is 2.248 states/eV/atom.

***

What are the relative energies? In meV/atom: #P 134; #Q 0; #R 91.

***

#P
Material: Pu2U2Se7
Method: DFT, PBE
State: relaxed

The structure belongs to space group Fd-3m (No. 227, origin choice 2); the cell edges are 13.6101, 13.6101 and 13.6101 Å and the angles 90.00°, 90.00° and 90.00°. Symmetry generates all atoms from Pu at (0.0000, 0.0000, 0.0000), U at (0.0000, 0.0000, 0.5000), Se at (0.1171, 0.3750, 0.3750) and Se at (0.1250, 0.1250, 0.6250).

The density of states at the Fermi level is 3.705 states/eV/atom.

***

#Q
Material: Pu2U2Se7
Method: DFT, PBE
State: relaxed

The structure belongs to space group Imm2 (No. 44); the cell edges are 4.0410, 14.8086 and 8.9909 Å and the angles 90.00°, 90.00° and 90.00°. Symmetry generates all atoms from Pu at (0.0000, 0.2397, 0.0000), U at (0.0000, 0.0000, 0.2421), U at (0.0000, 0.5000, 0.1870), Se at (0.0000, 0.0000, 0.9190), Se at (0.0000, 0.1078, 0.5175), Se at (0.0000, 0.3190, 0.2970) and Se at (0.0000, 0.3665, 0.6889).

The density of states at the Fermi level is 2.819 states/eV/atom.

***

What are the relative energies? In meV/atom: #P 133; #Q 0.